[1]
# Ac2SmYO6 (PBE, optimized geometry)
data_Ac2SmYO6
_chemical_formula_sum 'Ac4 Sm2 Y2 O12'
_cell_length_a 6.0827
_cell_length_b 6.2733
_cell_length_c 10.6727
_cell_angle_alpha 90.00
_cell_angle_beta 124.62
_cell_angle_gamma 90.00
_space_group_name_H-M_alt 'P 1 21/c 1'
_space_group_IT_number 14
_space_group_name_Hall '-P 2ybc'
loop_
_atom_site_label
_atom_site_type_symbol
_atom_site_fract_x
_atom_site_fract_y
_atom_site_fract_z
Ac1 Ac 0.2346 0.0482 0.2504
Sm1 Sm 0.5000 0.0000 0.0000
Y1 Y 0.0000 0.0000 0.5000
O1 O 0.1251 0.2006 0.9319
O2 O 0.2339 0.6950 0.9336
O3 O 0.3708 0.0570 0.7466
# formation energy (no corrections): -327.20 kJ/mol of atoms
# N(E_F): 0.00 states/eV/f.u.
# M_tot: 0.0000 μB/atom
# energy: -166.1 eV per cell


[2]
# Ac2SmZnO6 (PBE, optimized geometry)
data_Ac2SmZnO6
_chemical_formula_sum 'Ac4 Sm2 Zn2 O12'
_cell_length_a 5.9180
_cell_length_b 6.0578
_cell_length_c 10.2995
_cell_angle_alpha 90.00
_cell_angle_beta 123.49
_cell_angle_gamma 90.00
_space_group_name_H-M_alt 'P 1 21/c 1'
_space_group_IT_number 14
_space_group_name_Hall '-P 2ybc'
loop_
_atom_site_label
_atom_site_type_symbol
_atom_site_fract_x
_atom_site_fract_y
_atom_site_fract_z
Ac1 Ac 0.2298 0.0494 0.2471
Sm1 Sm 0.5000 0.0000 0.0000
Zn1 Zn 0.0000 0.0000 0.5000
O1 O 0.1360 0.2147 0.9420
O2 O 0.2217 0.6979 0.9417
O3 O 0.3493 0.0397 0.7420
# formation energy (no corrections): -258.23 kJ/mol of atoms
# N(E_F): 6.09 states/eV/f.u.
# M_tot: 0.1005 μB/atom
# energy: -141.4 eV per cell


[3]
# Ac2SmZrO6 (PBE, optimized geometry)
data_Ac2SmZrO6
_chemical_formula_sum 'Ac4 Sm2 Zr2 O12'
_cell_length_a 6.0644
_cell_length_b 6.1919
_cell_length_c 10.4241
_cell_angle_alpha 90.00
_cell_angle_beta 124.67
_cell_angle_gamma 90.00
_space_group_name_H-M_alt 'P 1 21/c 1'
_space_group_IT_number 14
_space_group_name_Hall '-P 2ybc'
loop_
_atom_site_label
_atom_site_type_symbol
_atom_site_fract_x
_atom_site_fract_y
_atom_site_fract_z
Ac1 Ac 0.2318 0.0602 0.2439
Sm1 Sm 0.5000 0.0000 0.0000
Zr1 Zr 0.0000 0.0000 0.5000
O1 O 0.1251 0.2037 0.9411
O2 O 0.2360 0.6896 0.9407
O3 O 0.3522 0.0385 0.7388
# formation energy (no corrections): -309.31 kJ/mol of atoms
# N(E_F): 2.19 states/eV/f.u.
# M_tot: 0.0861 μB/atom
# energy: -166.6 eV per cell


[4]
# Ac2SnO (PBE, optimized geometry)
data_Ac2SnO
_chemical_formula_sum 'Ac2 Sn1 O1'
_cell_length_a 3.5035
_cell_length_b 3.5035
_cell_length_c 8.2266
_cell_angle_alpha 90.00
_cell_angle_beta 90.00
_cell_angle_gamma 90.00
_space_group_name_H-M_alt 'P 4/m m m'
_space_group_IT_number 123
_space_group_name_Hall '-P 4 2'
loop_
_atom_site_label
_atom_site_type_symbol
_atom_site_fract_x
_atom_site_fract_y
_atom_site_fract_z
Ac1 Ac 0.0000 0.0000 0.2084
Sn1 Sn 0.5000 0.5000 0.5000
O1 O 0.5000 0.5000 0.0000
# offset from the most stable computed form: 0.600 eV per atom
# formation energy (no corrections): -112.32 kJ/mol of atoms
# N(E_F): 1.80 states/eV/f.u.
# M_tot: 0.0000 μB/atom
# energy: -21.8 eV per cell


[5]
# Ac5Sn2O (PBE, optimized geometry)
data_Ac5Sn2O
_chemical_formula_sum 'Ac20 Sn8 O4'
_cell_length_a 6.2697
_cell_length_b 13.5597
_cell_length_c 15.7596
_cell_angle_alpha 90.00
_cell_angle_beta 90.00
_cell_angle_gamma 90.00
_space_group_name_H-M_alt 'C m c m'
_space_group_IT_number 63
_space_group_name_Hall '-C 2c 2'
loop_
_atom_site_label
_atom_site_type_symbol
_atom_site_fract_x
_atom_site_fract_y
_atom_site_fract_z
Ac1 Ac 0.0000 0.0662 0.1115
Ac2 Ac 0.0000 0.3421 0.7500
Ac3 Ac 0.0000 0.3677 0.0554
Sn1 Sn 0.0000 0.1900 0.5932
O1 O 0.0000 0.1221 0.2500
# formation energy (no corrections): -73.27 kJ/mol of atoms
# N(E_F): 5.01 states/eV/f.u.
# M_tot: 0.1296 μB/atom
# energy: -158.3 eV per cell


[6]
# Ac5Sn4O (PBE, optimized geometry)
data_Ac5Sn4O
_chemical_formula_sum 'Ac10 Sn8 O2'
_cell_length_a 10.2260
_cell_length_b 10.2260
_cell_length_c 6.7760
_cell_angle_alpha 90.00
_cell_angle_beta 90.00
_cell_angle_gamma 90.00
_space_group_name_H-M_alt 'I 4'
_space_group_IT_number 79
_space_group_name_Hall 'I 4'
loop_
_atom_site_label
_atom_site_type_symbol
_atom_site_fract_x
_atom_site_fract_y
_atom_site_fract_z
Ac1 Ac 0.0000 0.0000 0.0000
Ac2 Ac 0.0976 0.2604 0.4361
Sn1 Sn 0.0789 0.3135 0.9297
O1 O 0.0000 0.0000 0.3576
# formation energy (no corrections): -87.01 kJ/mol of atoms
# N(E_F): 6.99 states/eV/f.u.
# M_tot: 0.0000 μB/atom
# energy: -101.1 eV per cell


Q: What is the formation energy (no corrections) in the first record?
A: -327.20 kJ/mol of atoms


Q: Which of these has the highest energy?
A: Ac2SnO